No. 1
{"formula": "Np3Nb3VN8", "functional": "PBE", "state": "relaxed", "formation_energy_uncorrected_ev_per_atom": -1.08, "lattice": [[-4.281, 1.595, -4.385], [-0.620, -5.426, 3.204], [-1.037, 5.616, 3.055]], "species": ["N", "N", "N", "N", "N", "N", "N", "N", "Nb", "Nb", "Nb", "Np", "Np", "Np", "V"], "fractional_positions": [[0.762, 0.524, 0.273], [0.249, 0.011, 0.273], [0.742, 0.485, 0.727], [0.238, 0.989, 0.727], [0.751, 0.989, 0.727], [0.762, 0.011, 0.273], [0.258, 0.515, 0.273], [0.238, 0.476, 0.727], [0.500, 0.500, 0.500], [0.500, 0.000, 0.500], [0.000, 0.500, 0.500], [0.000, 0.500, 0.000], [0.500, 0.500, 0.000], [0.000, 0.000, 0.000], [0.000, 0.000, 0.500]]}



No. 2
{"formula": "Be5C", "functional": "PBE", "state": "relaxed", "polymorph_energy_mev_per_atom": 566, "delta_e_f_mev_per_atom": 862, "lattice": [[0.258, -4.088, -0.473], [-3.358, -2.346, 0.471], [-1.728, -1.809, -3.278]], "species": ["Be", "Be", "Be", "Be", "Be", "C"], "fractional_positions": [[0.250, 0.250, 0.250], [0.624, 0.127, 0.624], [0.127, 0.624, 0.624], [0.624, 0.624, 0.624], [0.624, 0.624, 0.127], [0.000, 0.000, 0.000]]}



No. 3
{"formula": "SrWS2", "functional": "PBE", "state": "relaxed", "formation_energy_uncorrected_ev_per_atom": -0.24, "polymorph_energy_mev_per_atom": 319, "lattice": [[0.000, 3.288, 3.288], [3.288, 0.000, 3.288], [3.288, 3.288, 0.000]], "species": ["S", "S", "Sr", "W"], "fractional_positions": [[0.250, 0.250, 0.250], [0.750, 0.750, 0.750], [0.000, 0.000, 0.000], [0.500, 0.500, 0.500]]}



No. 4
{"formula": "Cu3SbO", "functional": "PBE", "state": "relaxed", "formation_energy_uncorrected_ev_per_atom": 0.01, "polymorph_energy_mev_per_atom": 0, "lattice": [[4.143, 0.000, 0.000], [0.000, 4.143, 0.000], [0.000, 0.000, 4.143]], "species": ["Cu", "Cu", "Cu", "O", "Sb"], "fractional_positions": [[0.000, 0.000, 0.500], [0.000, 0.500, 0.000], [0.500, 0.000, 0.000], [0.000, 0.000, 0.000], [0.500, 0.500, 0.500]]}



No. 5
{"formula": "Ce2Sm4Sn3O2", "functional": "PBE", "state": "relaxed", "formation_energy_uncorrected_ev_per_atom": -1.44, "lattice": [[-1.464, 2.162, 4.012], [0.557, -4.098, 2.411], [12.586, 4.199, -0.527]], "species": ["Sm", "Sm", "Sm", "Sm", "Sn", "Sn", "Sn", "Ce", "Ce", "O", "O"], "fractional_positions": [[0.582, 0.082, 0.164], [0.082, 0.582, 0.164], [0.918, 0.418, 0.836], [0.418, 0.918, 0.836], [0.176, 0.176, 0.352], [0.824, 0.824, 0.648], [0.000, 0.000, 0.000], [0.306, 0.306, 0.613], [0.694, 0.694, 0.387], [0.601, 0.601, 0.203], [0.399, 0.399, 0.797]]}



No. 6
{"formula": "BaHIN2", "functional": "PBE", "state": "relaxed", "polymorph_energy_mev_per_atom": 0, "lattice": [[-0.761, 2.620, 4.263], [3.657, -2.652, 2.283], [2.602, 2.609, -1.139]], "species": ["N", "N", "H", "I", "Ba"], "fractional_positions": [[0.500, 0.000, 0.000], [0.000, 0.500, 0.000], [0.000, 0.000, 0.000], [0.000, 0.000, 0.500], [0.500, 0.500, 0.500]]}



No. 7
{"formula": "Sm2Ga7Pd12", "functional": "PBE", "state": "relaxed", "delta_e_f_mev_per_atom": -717, "lattice": [[-3.847, 0.323, 0.797], [-1.463, 4.749, -8.989], [-0.738, -10.228, 0.585]], "species": ["Pd", "Pd", "Pd", "Pd", "Pd", "Pd", "Pd", "Pd", "Pd", "Pd", "Pd", "Pd", "Ga", "Ga", "Ga", "Ga", "Ga", "Ga", "Ga", "Sm", "Sm"], "fractional_positions": [[0.751, 0.557, 0.619], [0.249, 0.938, 0.557], [0.249, 0.619, 0.062], [0.756, 0.883, 0.740], [0.244, 0.143, 0.883], [0.751, 0.381, 0.938], [0.244, 0.740, 0.857], [0.249, 0.443, 0.381], [0.756, 0.857, 0.117], [0.244, 0.117, 0.260], [0.751, 0.062, 0.443], [0.756, 0.260, 0.143], [0.254, 0.885, 0.288], [0.746, 0.597, 0.885], [0.746, 0.288, 0.403], [0.500, 0.000, 0.000], [0.254, 0.403, 0.115], [0.254, 0.712, 0.597], [0.746, 0.115, 0.712], [0.243, 0.333, 0.667], [0.757, 0.667, 0.333]]}



No. 8
{"formula": "Ag2B2Cl7", "functional": "PBE", "state": "relaxed", "formation_energy_uncorrected_ev_per_atom": -0.56, "lattice": [[7.879, -0.985, -1.861], [-2.329, 7.591, -1.861], [-0.156, -0.186, 13.668]], "species": ["B", "B", "B", "B", "Cl", "Cl", "Cl", "Cl", "Cl", "Cl", "Cl", "Cl", "Cl", "Cl", "Cl", "Cl", "Cl", "Cl", "Ag", "Ag", "Ag", "Ag"], "fractional_positions": [[0.830, 0.809, 0.757], [0.809, 0.830, 0.257], [0.191, 0.170, 0.743], [0.170, 0.191, 0.243], [0.216, 0.010, 0.162], [0.086, 0.914, 0.750], [0.010, 0.216, 0.662], [0.914, 0.086, 0.250], [0.667, 0.700, 0.618], [0.630, 0.837, 0.315], [0.700, 0.667, 0.118], [0.163, 0.370, 0.185], [0.333, 0.300, 0.382], [0.300, 0.333, 0.882], [0.990, 0.784, 0.338], [0.837, 0.630, 0.815], [0.370, 0.163, 0.685], [0.784, 0.990, 0.838], [0.960, 0.647, 0.035], [0.647, 0.960, 0.535], [0.353, 0.040, 0.465], [0.040, 0.353, 0.965]]}



| no. | magnetization (μB/f.u.) | electronic total energy (eV per atom) |
| --- | --- | --- |
| 1 | 5.80 | -10.73 |
| 2 | 0.00 | -3.78 |
| 3 | 0.00 | -5.96 |
| 4 | 0.00 | -4.27 |
| 5 | 2.04 | -6.23 |
| 6 | 4.29 | -3.55 |
| 7 | 0.00 | -5.14 |
| 8 | 0.97 | -3.47 |